LiTh2Zn4 | PBE-GGA | optimized geometry

The space group is I4/mmm (No. 139) and the conventional cell measures 4.454, 4.454 and 15.381 Å, with angles of 90.00, 90.00 and 90.00 degrees. The distinct sites, in fractional coordinates, are Li at (0.000, 0.000, 0.000), Th at (0.000, 0.000, 0.351), Zn at (0.000, 0.000, 0.153) and Zn at (0.000, 0.500, 0.000).

The value obtained for the electronic total energy is -3.099 eV/atom. The calculation puts the density of states at the Fermi level at 7.7 states/eV/f.u. The theoretical density is 7.975 g cm⁻³. The value obtained for the size of the total moment is 0.000 μB per atom.